(1)
In2Fe2Mo, relaxed, DFT GGA-PBE; E = -5.82 eV/atom; energy above the lowest structure with this stoichiometry = 454.9 meV per atom; ΔE_f = 823 meV per atom
1.0
-2.503 2.503 3.605
2.503 -2.503 3.605
2.503 2.503 -3.605
In Fe Mo
2 2 1
Cartesian
2.503 0.000 1.803
0.000 2.503 1.803
0.000 0.000 1.113
0.000 0.000 6.097
0.000 0.000 3.605



(2)
LiSiMoIr, relaxed, DFT GGA-PBE; E = -6.93 eV/atom; formation energy (no corrections) = -174 meV/atom
1.0
0.000 3.008 3.008
3.008 0.000 3.008
3.008 3.008 0.000
Li Si Mo Ir
1 1 1 1
Cartesian
0.000 0.000 0.000
4.512 4.512 4.512
1.504 1.504 1.504
3.008 3.008 3.008



(3)
Ir7Os2Rh3, relaxed, DFT GGA-PBE; E = -8.42 eV/atom; ΔE_f = 457 meV per atom
1.0
2.743 0.000 0.000
0.000 4.279 0.000
-1.364 0.000 16.204
Ir Os Rh
7 2 3
Cartesian
0.000 0.000 0.000
-0.001 2.139 2.215
0.004 2.139 9.169
0.008 0.000 13.190
1.370 0.000 3.014
1.375 2.139 7.035
1.380 2.139 13.989
0.006 2.139 11.649
1.372 2.139 4.556
0.002 0.000 5.579
1.371 2.139 0.000
1.376 0.000 10.625



(4)
RbNa2AlGa, relaxed, DFT GGA-PBE; E = -1.93 eV/atom; energy above the lowest structure with this stoichiometry = 26.1 meV per atom; ΔE_f = 144 meV per atom
1.0
5.968 0.000 0.000
0.000 5.968 0.000
0.000 0.000 5.007
Rb Na Al Ga
1 2 1 1
Cartesian
0.000 0.000 0.000
0.000 2.984 2.504
2.984 0.000 2.504
2.984 2.984 2.504
2.984 2.984 0.000



(5)
La4CuI2N, relaxed, DFT GGA-PBE; E = -5.30 eV/atom; formation energy (no corrections) = -891 meV/atom
1.0
7.189 0.000 0.000
0.000 4.005 0.000
-2.472 0.000 8.042
La Cu I N
4 1 2 1
Cartesian
0.946 0.000 1.431
-0.314 2.002 6.564
5.031 2.002 1.478
3.771 0.000 6.611
3.595 0.000 0.000
-1.236 0.000 4.021
2.359 2.002 4.021
0.000 2.002 0.000



(6)
SbAu2F, relaxed, DFT GGA-PBE; E = -3.42 eV/atom; formation energy (no corrections) = -288 meV/atom; energy above the lowest structure with this stoichiometry = 106.5 meV per atom
1.0
0.000 3.317 3.317
3.317 0.000 3.317
3.317 3.317 0.000
Sb Au F
1 2 1
Cartesian
0.000 0.000 0.000
1.658 1.658 1.658
4.975 4.975 4.975
3.317 3.317 3.317



What did the sixth record say?
SbAu2F, relaxed, DFT GGA-PBE; E = -3.42 eV/atom; formation energy (no corrections) = -288 meV/atom; energy above the lowest structure with this stoichiometry = 106.5 meV per atom
1.0
0.000 3.317 3.317
3.317 0.000 3.317
3.317 3.317 0.000
Sb Au F
1 2 1
Cartesian
0.000 0.000 0.000
1.658 1.658 1.658
4.975 4.975 4.975
3.317 3.317 3.317